Entry 1:
Material: LiHf3F
Method: DFT, PBE-GGA
State: optimized geometry

## Properties
- E above lowest polymorph (eV/atom) = 0.000
- symmetry = Pm-3m
- formation energy without anion corrections (eV/atom) = -0.225
- final energy (eV per formula unit) = -34.8

Cell and atoms, written as POSCAR:
```
LiHf3F
1.0
4.530 0.000 0.000
0.000 4.530 0.000
0.000 0.000 4.530
Li Hf F
1 3 1
direct
0.000 0.000 0.000
0.000 0.500 0.500
0.500 0.000 0.500
0.500 0.500 0.000
0.500 0.500 0.500
```



Entry 2:
Material: LiHfF5
Method: DFT, PBE-GGA
State: optimized geometry

## Properties
- E above lowest polymorph (eV/atom) = 0.000
- symmetry = C2/c
- formation energy without anion corrections (eV/atom) = -3.594
- final energy (eV per formula unit) = -46.4

Cell and atoms, written as POSCAR:
```
LiHfF5
1.0
4.201 -3.877 0.000
4.201 3.877 0.000
-3.964 0.000 7.018
Li Hf F
2 2 10
direct
0.097 0.903 0.750
0.903 0.097 0.250
0.500 0.500 0.000
0.500 0.500 0.500
0.217 0.241 0.858
0.241 0.217 0.358
0.243 0.734 0.561
0.266 0.757 0.939
0.434 0.566 0.250
0.566 0.434 0.750
0.734 0.243 0.061
0.757 0.266 0.439
0.759 0.783 0.642
0.783 0.759 0.142
```



Entry 3:
Material: Li4HfF8
Method: DFT, PBE-GGA
State: optimized geometry

## Properties
- symmetry = F-43m
- formation energy without anion corrections (eV/atom) = -3.012
- final energy (eV per formula unit) = -71.7

Cell and atoms, written as POSCAR:
```
Li4HfF8
1.0
0.000 4.239 4.239
4.239 0.000 4.239
4.239 4.239 0.000
Li Hf F
4 1 8
direct
0.393 0.393 0.393
0.393 0.393 0.820
0.393 0.820 0.393
0.820 0.393 0.393
0.000 0.000 0.000
0.131 0.131 0.131
0.131 0.131 0.608
0.131 0.608 0.131
0.154 0.615 0.615
0.608 0.131 0.131
0.615 0.154 0.615
0.615 0.615 0.154
0.615 0.615 0.615
```



Entry 4:
Material: Li3HfF
Method: DFT, PBE-GGA
State: optimized geometry

## Properties
- E above lowest polymorph (eV/atom) = 1.270
- symmetry = Pm-3m
- formation energy without anion corrections (eV/atom) = 0.910
- final energy (eV per formula unit) = -13.0

Cell and atoms, written as POSCAR:
```
Li3HfF
1.0
5.599 0.000 0.000
0.000 5.599 0.000
0.000 0.000 5.599
Li Hf F
3 1 1
direct
0.000 0.000 0.500
0.000 0.500 0.000
0.500 0.000 0.000
0.000 0.000 0.000
0.500 0.500 0.500
```



Entry 5:
Material: Li3HfF
Method: DFT, PBE-GGA
State: optimized geometry

## Properties
- E above lowest polymorph (eV/atom) = 0.000
- symmetry = Pm-3m
- formation energy without anion corrections (eV/atom) = -0.361
- final energy (eV per formula unit) = -19.4

Cell and atoms, written as POSCAR:
```
Li3HfF
1.0
4.278 0.000 0.000
0.000 4.278 0.000
0.000 0.000 4.278
Li Hf F
3 1 1
direct
0.000 0.000 0.500
0.000 0.500 0.000
0.500 0.000 0.000
0.500 0.500 0.500
0.000 0.000 0.000
```



Entry 6:
Material: LiHfF5
Method: DFT, PBE-GGA
State: optimized geometry

## Properties
- E above lowest polymorph (eV/atom) = 0.042
- symmetry = Immm
- formation energy without anion corrections (eV/atom) = -3.552
- final energy (eV per formula unit) = -46.1

Cell and atoms, written as POSCAR:
```
LiHfF5
1.0
-2.053 3.411 3.852
2.053 -3.411 3.852
2.053 3.411 -3.852
Li Hf F
1 1 5
direct
0.000 0.000 0.000
0.500 0.500 0.000
0.210 0.500 0.710
0.242 0.242 0.000
0.500 0.000 0.500
0.758 0.758 0.000
0.790 0.500 0.290
```



Entry 7:
Material: LiHf2F8
Method: DFT, PBE-GGA
State: optimized geometry

## Properties
- E above lowest polymorph (eV/atom) = 0.000
- symmetry = C2/m
- formation energy without anion corrections (eV/atom) = -3.441
- final energy (eV per formula unit) = -74.6

Cell and atoms, written as POSCAR:
```
LiHf2F8
1.0
3.361 -5.055 0.000
3.361 5.055 0.000
-0.832 0.000 4.019
Li Hf F
1 2 8
direct
0.000 0.000 0.000
0.323 0.677 0.000
0.677 0.323 0.000
0.047 0.333 0.063
0.269 0.731 0.500
0.333 0.047 0.063
0.402 0.402 0.732
0.598 0.598 0.268
0.667 0.953 0.937
0.731 0.269 0.500
0.953 0.667 0.937
```



Entry 8:
Material: LiHfF3
Method: DFT, PBE-GGA
State: optimized geometry

## Properties
- E above lowest polymorph (eV/atom) = 0.209
- symmetry = Pm-3m
- formation energy without anion corrections (eV/atom) = -2.103
- final energy (eV per formula unit) = -28.0

Cell and atoms, written as POSCAR:
```
LiHfF3
1.0
3.774 0.000 0.000
0.000 3.774 0.000
0.000 0.000 3.774
Li Hf F
1 1 3
direct
0.000 0.000 0.000
0.500 0.500 0.500
0.000 0.000 0.500
0.000 0.500 0.000
0.500 0.000 0.000
```



Entry 9:
Material: Li2HfF8
Method: DFT, PBE-GGA
State: optimized geometry

## Properties
- symmetry = I422
- formation energy without anion corrections (eV/atom) = -2.705
- final energy (eV per formula unit) = -58.5

Cell and atoms, written as POSCAR:
```
Li2HfF8
1.0
-2.720 2.720 5.166
2.720 -2.720 5.166
2.720 2.720 -5.166
Li Hf F
2 1 8
direct
0.250 0.750 0.500
0.750 0.250 0.500
0.000 0.000 0.000
0.009 0.594 0.834
0.174 0.009 0.414
0.240 0.406 0.414
0.406 0.991 0.166
0.594 0.760 0.586
0.760 0.174 0.166
0.826 0.240 0.834
0.991 0.826 0.586
```



Entry 10:
Material: LiHfF3
Method: DFT, PBE-GGA
State: optimized geometry

## Properties
- E above lowest polymorph (eV/atom) = 0.000
- symmetry = Pm-3m
- formation energy without anion corrections (eV/atom) = -2.312
- final energy (eV per formula unit) = -29.0

Cell and atoms, written as POSCAR:
```
LiHfF3
1.0
4.291 0.000 0.000
0.000 4.291 0.000
0.000 0.000 4.291
Li Hf F
1 1 3
direct
0.000 0.000 0.000
0.500 0.500 0.500
0.000 0.500 0.500
0.500 0.000 0.500
0.500 0.500 0.000
```



Entry 11:
Material: LiHfF6
Method: DFT, PBE-GGA
State: optimized geometry

## Properties
- symmetry = P312
- formation energy without anion corrections (eV/atom) = -3.035
- final energy (eV per formula unit) = -47.4

Cell and atoms, written as POSCAR:
```
LiHfF6
1.0
5.271 0.000 0.000
-2.636 4.565 0.000
0.000 0.000 4.840
Li Hf F
1 1 6
direct
0.000 0.000 0.000
0.667 0.333 0.500
0.335 0.055 0.745
0.335 0.280 0.255
0.720 0.055 0.255
0.720 0.665 0.745
0.945 0.280 0.745
0.945 0.665 0.255
```



Entry 12:
Material: Li3HfF7
Method: DFT, PBE-GGA
State: optimized geometry

## Properties
- symmetry = Cm
- formation energy without anion corrections (eV/atom) = -3.356
- final energy (eV per formula unit) = -65.7

Cell and atoms, written as POSCAR:
```
Li3HfF7
1.0
3.810 -3.704 0.000
3.810 3.704 0.000
-3.089 0.000 4.823
Li Hf F
3 1 7
direct
0.000 0.000 0.000
0.421 0.944 0.839
0.944 0.421 0.839
0.604 0.604 0.250
0.272 0.727 0.984
0.273 0.273 0.042
0.386 0.760 0.478
0.727 0.272 0.984
0.760 0.386 0.478
0.771 0.771 0.055
0.897 0.897 0.586
```



Entry 13:
Material: LiHf2F8
Method: DFT, PBE-GGA
State: optimized geometry

## Properties
- E above lowest polymorph (eV/atom) = 0.011
- symmetry = C2/m
- formation energy without anion corrections (eV/atom) = -3.431
- final energy (eV per formula unit) = -74.5

Cell and atoms, written as POSCAR:
```
LiHf2F8
1.0
4.373 -3.348 0.000
4.373 3.348 0.000
-1.091 0.000 4.912
Li Hf F
1 2 8
direct
0.000 0.000 0.000
0.315 0.315 0.568
0.685 0.685 0.432
0.055 0.659 0.681
0.160 0.160 0.803
0.341 0.945 0.319
0.441 0.441 0.248
0.559 0.559 0.752
0.659 0.055 0.681
0.840 0.840 0.197
0.945 0.341 0.319
```



Entry 14:
Material: LiHfNF2
Method: DFT, PBE-GGA
State: optimized geometry

## Properties
- E above lowest polymorph (eV/atom) = 0.244
- symmetry = P4/mmm
- formation energy without anion corrections (eV/atom) = -1.885
- final energy (eV per formula unit) = -33.4

Cell and atoms, written as POSCAR:
```
LiHfNF2
1.0
3.319 0.000 0.000
0.000 3.319 0.000
0.000 0.000 4.340
Li Hf N F
1 1 1 2
direct
0.000 0.000 0.000
0.500 0.500 0.500
0.000 0.000 0.500
0.000 0.500 0.000
0.500 0.000 0.000
```



Entry 15:
Material: LiHfNF2
Method: DFT, PBE-GGA
State: optimized geometry

## Properties
- E above lowest polymorph (eV/atom) = 0.000
- symmetry = P4/mmm
- formation energy without anion corrections (eV/atom) = -2.129
- final energy (eV per formula unit) = -34.6

Cell and atoms, written as POSCAR:
```
LiHfNF2
1.0
4.171 0.000 0.000
0.000 4.171 0.000
0.000 0.000 4.154
Li Hf N F
1 1 1 2
direct
0.000 0.000 0.000
0.500 0.500 0.500
0.500 0.500 0.000
0.000 0.500 0.500
0.500 0.000 0.500
```



Entry 16:
Material: Na2LiHfF8
Method: DFT, PBE-GGA
State: optimized geometry

## Properties
- symmetry = P2/m
- formation energy without anion corrections (eV/atom) = -3.010
- final energy (eV per formula unit) = -65.6

Cell and atoms, written as POSCAR:
```
Na2LiHfF8
1.0
4.877 0.000 0.000
0.000 6.495 0.000
-0.064 0.000 5.151
Na Li Hf F
2 1 1 8
direct
0.000 0.248 0.000
0.000 0.752 0.000
0.500 0.000 0.500
0.500 0.500 0.500
0.266 0.500 0.819
0.269 0.266 0.363
0.269 0.734 0.363
0.338 0.000 0.875
0.662 0.000 0.125
0.731 0.266 0.637
0.731 0.734 0.637
0.734 0.500 0.181
```



Entry 17:
Material: NaLiHfF6
Method: DFT, PBE-GGA
State: optimized geometry

## Properties
- symmetry = P-31c
- formation energy without anion corrections (eV/atom) = -3.445
- final energy (eV per formula unit) = -55.4

Cell and atoms, written as POSCAR:
```
NaLiHfF6
1.0
5.377 0.000 0.000
-2.688 4.656 0.000
0.000 0.000 9.902
Na Li Hf F
2 2 2 12
direct
0.000 0.000 0.000
0.000 0.000 0.500
0.333 0.667 0.250
0.667 0.333 0.750
0.333 0.667 0.750
0.667 0.333 0.250
0.009 0.364 0.639
0.009 0.645 0.861
0.355 0.364 0.861
0.355 0.991 0.639
0.364 0.009 0.139
0.364 0.355 0.361
0.636 0.645 0.639
0.636 0.991 0.861
0.645 0.009 0.361
0.645 0.636 0.139
0.991 0.355 0.139
0.991 0.636 0.361
```



Entry 18:
Material: NaLi2HfF8
Method: DFT, PBE-GGA
State: optimized geometry

## Properties
- symmetry = I-4
- formation energy without anion corrections (eV/atom) = -3.052
- final energy (eV per formula unit) = -66.7

Cell and atoms, written as POSCAR:
```
NaLi2HfF8
1.0
-2.619 2.619 5.271
2.619 -2.619 5.271
2.619 2.619 -5.271
Na Li Hf F
1 2 1 8
direct
0.000 0.000 0.000
0.250 0.750 0.500
0.500 0.500 0.000
0.750 0.250 0.500
0.026 0.619 0.022
0.115 0.279 0.567
0.381 0.403 0.407
0.451 0.885 0.163
0.597 0.004 0.978
0.712 0.549 0.433
0.721 0.288 0.837
0.996 0.974 0.593
```



Entry 19:
Material: Li2HfNbF
Method: DFT, PBE-GGA
State: optimized geometry

## Properties
- symmetry = P4/mmm
- formation energy without anion corrections (eV/atom) = -0.497
- final energy (eV per formula unit) = -28.2

Cell and atoms, written as POSCAR:
```
Li2HfNbF
1.0
3.931 0.000 0.000
0.000 3.931 0.000
0.000 0.000 5.109
Li Hf Nb F
2 1 1 1
direct
0.000 0.500 0.000
0.500 0.000 0.000
0.000 0.000 0.500
0.500 0.500 0.500
0.500 0.500 0.000
```



Entry 20:
Material: LiHfOF2
Method: DFT, PBE-GGA
State: optimized geometry

## Properties
- E above lowest polymorph (eV/atom) = 0.304
- symmetry = P4/mmm
- formation energy without anion corrections (eV/atom) = -2.340
- final energy (eV per formula unit) = -32.3

Cell and atoms, written as POSCAR:
```
LiHfOF2
1.0
3.373 0.000 0.000
0.000 3.373 0.000
0.000 0.000 4.177
Li Hf O F
1 1 1 2
direct
0.000 0.000 0.000
0.500 0.500 0.500
0.000 0.000 0.500
0.000 0.500 0.000
0.500 0.000 0.000
```